Entry 1:
VASP calculation (GGA-PBE) on an optimized crystal structure of MnIn2Se.

Properties
- final energy (eV/cell) = -17.0
- ΔE_f (raw) (eV/atom) = 0.274

Unit cell a=5.048 b=5.048 c=5.048 alpha=60.00 beta=60.00 gamma=60.00
Site moments in Bohr magnetons follow the coordinates.
Atoms (fractional coordinates):
In  0.000  0.000  0.000  -0.04
In  0.250  0.250  0.250  -0.09
Mn  0.500  0.500  0.500  3.97
Se  0.750  0.750  0.750  -0.07

---

Entry 2:
VASP calculation (GGA-PBE) on an optimized crystal structure of RbBaH2.

Properties
- final energy (eV/cell) = -9.4

Unit cell a=5.126 b=5.126 c=5.126 alpha=60.00 beta=60.00 gamma=60.00
Atoms (fractional coordinates):
H  0.250  0.250  0.250
H  0.750  0.750  0.750
Ba  0.500  0.500  0.500
Rb  0.000  0.000  0.000